Entry 1:
Compound: ZrAsOs
Source: the Alexandria database
Functional: GGA-PBEsol
Structure: relaxed

Cell lengths 3.035, 3.035, 5.749 Å; angles 105.31, 105.31, 90.00 degrees
Sites, in units of the cell vectors:
As (0.979, 0.979, 0.959)
Os (0.355, 0.355, 0.709)
Zr (0.666, 0.666, 0.332)

space-group type	I4mm (107)
energy relative to the elements	-321	meV/atom

***

Entry 2:
Compound: AsP
Source: the Alexandria database
Functional: GGA-PBEsol
Structure: relaxed

Cell lengths 3.640, 3.640, 3.824 Å; angles 61.58, 61.58, 60.00 degrees
Sites, in units of the cell vectors:
P (0.770, 0.770, 0.691)
As (0.230, 0.230, 0.309)

energy relative to the lowest polymorph listed for this composition	9	meV/atom
space-group type	R3m (160)
energy relative to the elements	50	meV/atom

***

Entry 3:
Compound: AsP4
Source: the Alexandria database
Functional: GGA-PBEsol
Structure: relaxed

Cell lengths 4.925, 4.925, 4.925 Å; angles 109.47, 109.47, 109.47 degrees
Sites, in units of the cell vectors:
As (0.000, 0.000, 0.000)
P (0.500, 0.000, 0.000)
P (0.500, 0.500, 0.500)
P (0.000, 0.500, 0.000)
P (0.000, 0.000, 0.500)

space-group type	Im-3m (229)
energy relative to the elements	850	meV/atom